(1)
! PrNbSi2Tc PBE optimized geometry; values from VASP
&SYSTEM
  ibrav = 0, nat = 5, ntyp = 4
/
ATOMIC_SPECIES
Pr 140.91 Pr.upf
Nb 92.91 Nb.upf
Si 28.09 Si.upf
Tc 98.00 Tc.upf
CELL_PARAMETERS angstrom
4.086 0.000 0.000
0.000 4.086 0.000
-2.043 -2.043 5.639
ATOMIC_POSITIONS crystal
Pr 0.000 0.000 0.000
Nb 0.750 0.250 0.500
Si 0.611 0.611 0.222
Si 0.389 0.389 0.778
Tc 0.250 0.750 0.500
! D(E_F), states/eV/atom: 0.572
! E, eV per atom: -7.824

(2)
! PrNb6Sn6 PBE optimized geometry; values from VASP
&SYSTEM
  ibrav = 0, nat = 13, ntyp = 3
/
ATOMIC_SPECIES
Pr 140.91 Pr.upf
Nb 92.91 Nb.upf
Sn 118.71 Sn.upf
CELL_PARAMETERS angstrom
-2.948 4.246 -2.686
-7.243 0.335 2.161
0.013 6.478 3.908
ATOMIC_POSITIONS crystal
Pr 0.000 0.000 0.000
Nb 0.000 0.500 0.000
Nb 0.500 0.500 0.000
Nb 0.000 0.000 0.500
Nb 0.500 0.000 0.500
Nb 0.500 0.748 0.252
Nb 0.500 0.252 0.748
Sn 0.334 0.666 0.666
Sn 0.666 0.334 0.334
Sn 0.000 0.332 0.668
Sn 0.000 0.668 0.332
Sn 0.334 0.166 0.166
Sn 0.666 0.834 0.834
! DFT formation energy, eV per atom: -0.3283
! D(E_F), states/eV/atom: 0.379

(3)
! PrNbSn2 PBE optimized geometry; values from VASP
&SYSTEM
  ibrav = 0, nat = 4, ntyp = 3
/
ATOMIC_SPECIES
Pr 140.91 Pr.upf
Nb 92.91 Nb.upf
Sn 118.71 Sn.upf
CELL_PARAMETERS angstrom
3.276 0.000 0.000
1.638 2.837 0.000
1.638 0.946 11.255
ATOMIC_POSITIONS crystal
Pr 0.000 0.000 0.000
Nb 0.500 0.500 0.500
Sn 0.097 0.097 0.709
Sn 0.903 0.903 0.291
! DFT formation energy, eV per atom: 0.1220
! D(E_F), states/eV/atom: 0.959

(4)
! TbPrNb PBE optimized geometry; values from VASP
&SYSTEM
  ibrav = 0, nat = 6, ntyp = 3
/
ATOMIC_SPECIES
Pr 140.91 Pr.upf
Tb 158.93 Tb.upf
Nb 92.91 Nb.upf
CELL_PARAMETERS angstrom
3.547 0.000 0.000
0.000 3.547 0.000
0.000 0.000 13.527
ATOMIC_POSITIONS crystal
Pr 0.000 0.500 0.599
Pr 0.500 0.000 0.401
Tb 0.500 0.000 0.805
Tb 0.000 0.500 0.195
Nb 0.000 0.500 0.953
Nb 0.500 0.000 0.047
! DFT formation energy, eV per atom: 0.1011
! D(E_F), states/eV/atom: 1.312

(5)
! Tb2PrNb PBE optimized geometry; values from VASP
&SYSTEM
  ibrav = 0, nat = 4, ntyp = 3
/
ATOMIC_SPECIES
Pr 140.91 Pr.upf
Nb 92.91 Nb.upf
Tb 158.93 Tb.upf
CELL_PARAMETERS angstrom
-0.526 2.519 2.126
-2.799 0.094 1.817
4.262 -5.255 9.902
ATOMIC_POSITIONS crystal
Pr 0.500 0.500 0.500
Nb 0.000 0.000 0.000
Tb 0.081 0.081 0.756
Tb 0.919 0.919 0.244
! DFT formation energy, eV per atom: 0.5716
! D(E_F), states/eV/atom: 1.522

(6)
! PrNbTe2 PBE optimized geometry; values from VASP
&SYSTEM
  ibrav = 0, nat = 4, ntyp = 3
/
ATOMIC_SPECIES
Pr 140.91 Pr.upf
Nb 92.91 Nb.upf
Te 127.60 Te.upf
CELL_PARAMETERS angstrom
3.651 0.000 0.000
1.826 3.162 0.000
1.826 1.054 10.205
ATOMIC_POSITIONS crystal
Pr 0.000 0.000 0.000
Nb 0.500 0.500 0.500
Te 0.105 0.105 0.684
Te 0.895 0.895 0.316
! D(E_F), states/eV/atom: 0.952
! E, eV per atom: -5.615

(7)
! PrNbTe3 PBE optimized geometry; values from VASP
&SYSTEM
  ibrav = 0, nat = 10, ntyp = 3
/
ATOMIC_SPECIES
Pr 140.91 Pr.upf
Nb 92.91 Nb.upf
Te 127.60 Te.upf
CELL_PARAMETERS angstrom
-1.333 0.125 -3.776
6.960 -4.420 -0.478
-4.987 -7.400 1.514
ATOMIC_POSITIONS crystal
Pr 0.420 0.873 0.316
Pr 0.624 0.281 0.106
Nb 0.232 0.497 0.597
Nb 0.812 0.657 0.825
Te 0.079 0.192 0.385
Te 0.402 0.838 0.679
Te 0.642 0.316 0.743
Te 0.965 0.962 0.037
Te 0.276 0.585 0.045
Te 0.768 0.569 0.376
! D(E_F), states/eV/atom: 0.497
! E, eV per atom: -5.792

(8)
! PrTh2Nb PBE optimized geometry; values from VASP
&SYSTEM
  ibrav = 0, nat = 4, ntyp = 3
/
ATOMIC_SPECIES
Pr 140.91 Pr.upf
Nb 92.91 Nb.upf
Th 232.04 Th.upf
CELL_PARAMETERS angstrom
3.521 0.000 0.000
1.760 3.049 0.000
1.760 1.016 11.314
ATOMIC_POSITIONS crystal
Pr 0.000 0.000 0.000
Nb 0.500 0.500 0.500
Th 0.098 0.098 0.705
Th 0.902 0.902 0.295
! DFT formation energy, eV per atom: 0.4455
! D(E_F), states/eV/atom: 1.817

(9)
! Pr2ThNb PBE optimized geometry; values from VASP
&SYSTEM
  ibrav = 0, nat = 4, ntyp = 3
/
ATOMIC_SPECIES
Pr 140.91 Pr.upf
Nb 92.91 Nb.upf
Th 232.04 Th.upf
CELL_PARAMETERS angstrom
-0.994 0.202 3.218
2.270 -0.234 2.485
1.959 11.925 1.626
ATOMIC_POSITIONS crystal
Pr 0.082 0.082 0.755
Pr 0.918 0.918 0.245
Nb 0.000 0.000 0.000
Th 0.500 0.500 0.500
! DFT formation energy, eV per atom: 0.6209
! D(E_F), states/eV/atom: 1.847

(10)
! PrTh2Nb PBE optimized geometry; values from VASP
&SYSTEM
  ibrav = 0, nat = 4, ntyp = 3
/
ATOMIC_SPECIES
Pr 140.91 Pr.upf
Nb 92.91 Nb.upf
Th 232.04 Th.upf
CELL_PARAMETERS angstrom
3.668 0.000 0.000
0.000 3.668 0.000
0.000 0.000 8.658
ATOMIC_POSITIONS crystal
Pr 0.500 0.500 0.500
Nb 0.500 0.500 0.000
Th 0.000 0.000 0.789
Th 0.000 0.000 0.211
! DFT formation energy, eV per atom: 0.1799
! D(E_F), states/eV/atom: 1.351

(11)
! PrTi2Nb PBE optimized geometry; values from VASP
&SYSTEM
  ibrav = 0, nat = 4, ntyp = 3
/
ATOMIC_SPECIES
Pr 140.91 Pr.upf
Nb 92.91 Nb.upf
Ti 47.87 Ti.upf
CELL_PARAMETERS angstrom
-0.638 1.485 -3.071
-2.590 -2.243 -0.547
-4.571 4.516 3.132
ATOMIC_POSITIONS crystal
Pr 0.500 0.500 0.500
Nb 0.500 0.500 0.000
Ti 0.000 0.000 0.807
Ti 0.000 0.000 0.193
! DFT formation energy, eV per atom: 0.1498
! D(E_F), states/eV/atom: 1.538

(12)
! PrTm2Nb PBE optimized geometry; values from VASP
&SYSTEM
  ibrav = 0, nat = 4, ntyp = 3
/
ATOMIC_SPECIES
Pr 140.91 Pr.upf
Nb 92.91 Nb.upf
Tm 168.93 Tm.upf
CELL_PARAMETERS angstrom
-0.051 2.411 2.258
-2.075 2.547 -0.350
-8.890 -4.181 6.678
ATOMIC_POSITIONS crystal
Pr 0.500 0.500 0.500
Nb 0.000 0.000 0.000
Tm 0.082 0.082 0.755
Tm 0.918 0.918 0.245
! DFT formation energy, eV per atom: 0.5518
! D(E_F), states/eV/atom: 1.489

(13)
! Pr2YNb PBE optimized geometry; values from VASP
&SYSTEM
  ibrav = 0, nat = 4, ntyp = 3
/
ATOMIC_SPECIES
Pr 140.91 Pr.upf
Y 88.91 Y.upf
Nb 92.91 Nb.upf
CELL_PARAMETERS angstrom
3.382 0.000 0.000
1.691 2.929 0.000
1.691 0.976 11.901
ATOMIC_POSITIONS crystal
Pr 0.082 0.082 0.754
Pr 0.918 0.918 0.246
Y 0.500 0.500 0.500
Nb 0.000 0.000 0.000
! DFT formation energy, eV per atom: 0.6018
! D(E_F), states/eV/atom: 1.445

(14)
! PrNbZn PBE optimized geometry; values from VASP
&SYSTEM
  ibrav = 0, nat = 6, ntyp = 3
/
ATOMIC_SPECIES
Zn 65.41 Zn.upf
Nb 92.91 Nb.upf
Pr 140.91 Pr.upf
CELL_PARAMETERS angstrom
5.103 0.000 0.000
-2.551 2.551 0.000
0.000 0.000 10.665
ATOMIC_POSITIONS crystal
Zn 0.694 0.388 0.000
Zn 0.195 0.389 0.500
Nb 0.695 0.389 0.612
Nb 0.695 0.389 0.388
Pr 0.194 0.389 0.811
Pr 0.194 0.389 0.189
! DFT formation energy, eV per atom: 0.0669
! D(E_F), states/eV/atom: 1.025

(15)
! PrNbZn4 PBE optimized geometry; values from VASP
&SYSTEM
  ibrav = 0, nat = 6, ntyp = 3
/
ATOMIC_SPECIES
Pr 140.91 Pr.upf
Nb 92.91 Nb.upf
Zn 65.41 Zn.upf
CELL_PARAMETERS angstrom
5.360 0.000 0.000
2.680 4.642 0.000
2.680 1.547 4.376
ATOMIC_POSITIONS crystal
Pr 0.250 0.250 0.250
Nb 0.000 0.000 0.000
Zn 0.627 0.627 0.120
Zn 0.627 0.120 0.627
Zn 0.627 0.627 0.627
Zn 0.120 0.627 0.627
! DFT formation energy, eV per atom: -0.0981
! D(E_F), states/eV/atom: 0.622

(16)
! Pr2NbZn PBE optimized geometry; values from VASP
&SYSTEM
  ibrav = 0, nat = 4, ntyp = 3
/
ATOMIC_SPECIES
Pr 140.91 Pr.upf
Nb 92.91 Nb.upf
Zn 65.41 Zn.upf
CELL_PARAMETERS angstrom
-2.203 -2.113 -1.192
0.788 -3.161 -0.357
-4.085 -3.829 9.839
ATOMIC_POSITIONS crystal
Pr 0.089 0.089 0.732
Pr 0.911 0.911 0.268
Nb 0.000 0.000 0.000
Zn 0.500 0.500 0.500
! DFT formation energy, eV per atom: 0.5613
! D(E_F), states/eV/atom: 1.539

(17)
! NbPt7 PBE optimized geometry; values from VASP
&SYSTEM
  ibrav = 0, nat = 8, ntyp = 2
/
ATOMIC_SPECIES
Nb 92.91 Nb.upf
Pt 195.08 Pt.upf
CELL_PARAMETERS angstrom
-4.660 -1.479 -0.259
-0.468 -3.904 0.451
-0.035 -1.151 7.383
ATOMIC_POSITIONS crystal
Nb 0.000 0.000 0.000
Pt 0.869 0.879 0.373
Pt 0.761 0.740 0.758
Pt 0.625 0.625 0.124
Pt 0.500 0.500 0.500
Pt 0.375 0.375 0.876
Pt 0.239 0.260 0.242
Pt 0.131 0.121 0.627
! DFT formation energy, eV per atom: -0.3927
! D(E_F), states/eV/atom: 0.803

(18)
! NbPt PBE optimized geometry; values from VASP
&SYSTEM
  ibrav = 0, nat = 12, ntyp = 2
/
ATOMIC_SPECIES
Nb 92.91 Nb.upf
Pt 195.08 Pt.upf
CELL_PARAMETERS angstrom
-7.454 -0.966 0.456
3.521 -0.931 -6.591
0.628 -4.395 0.956
ATOMIC_POSITIONS crystal
Nb 0.631 0.101 0.250
Nb 0.530 0.631 0.750
Nb 0.899 0.530 0.250
Nb 0.369 0.899 0.750
Nb 0.470 0.369 0.250
Nb 0.101 0.470 0.750
Pt 0.051 0.253 0.250
Pt 0.798 0.051 0.750
Pt 0.747 0.798 0.250
Pt 0.949 0.747 0.750
Pt 0.202 0.949 0.250
Pt 0.253 0.202 0.750
! DFT formation energy, eV per atom: -0.0635
! D(E_F), states/eV/atom: 1.348

(19)
! NbPt PBE optimized geometry; values from VASP
&SYSTEM
  ibrav = 0, nat = 12, ntyp = 2
/
ATOMIC_SPECIES
Nb 92.91 Nb.upf
Pt 195.08 Pt.upf
CELL_PARAMETERS angstrom
7.165 0.000 0.000
0.000 7.165 0.000
0.000 0.000 7.165
ATOMIC_POSITIONS crystal
Nb 0.250 0.000 0.500
Nb 0.750 0.000 0.500
Nb 0.000 0.500 0.250
Nb 0.000 0.500 0.750
Nb 0.500 0.250 0.000
Nb 0.500 0.750 0.000
Pt 0.250 0.500 0.000
Pt 0.750 0.500 0.000
Pt 0.500 0.000 0.250
Pt 0.500 0.000 0.750
Pt 0.000 0.250 0.500
Pt 0.000 0.750 0.500
! DFT formation energy, eV per atom: 0.6570
! D(E_F), states/eV/atom: 1.212

(20)
! NbPt PBE optimized geometry; values from VASP
&SYSTEM
  ibrav = 0, nat = 6, ntyp = 2
/
ATOMIC_SPECIES
Nb 92.91 Nb.upf
Pt 195.08 Pt.upf
CELL_PARAMETERS angstrom
-0.081 -0.364 2.834
2.496 0.480 -1.308
-1.768 13.961 1.743
ATOMIC_POSITIONS crystal
Nb 0.000 0.000 0.500
Nb 0.333 0.667 0.167
Nb 0.667 0.333 0.833
Pt 0.000 0.000 0.000
Pt 0.333 0.667 0.667
Pt 0.667 0.333 0.333
! DFT formation energy, eV per atom: -0.3591
! D(E_F), states/eV/atom: 0.834

(21)
! NbPt PBE optimized geometry; values from VASP
&SYSTEM
  ibrav = 0, nat = 16, ntyp = 2
/
ATOMIC_SPECIES
Nb 92.91 Nb.upf
Pt 195.08 Pt.upf
CELL_PARAMETERS angstrom
-5.933 8.223 -3.610
-3.694 -2.359 0.699
-0.328 2.071 5.256
ATOMIC_POSITIONS crystal
Nb 0.324 0.250 0.645
Nb 0.824 0.250 0.855
Nb 0.676 0.750 0.355
Nb 0.176 0.750 0.145
Nb 0.056 0.250 0.392
Nb 0.556 0.250 0.108
Nb 0.944 0.750 0.608
Nb 0.444 0.750 0.892
Pt 0.309 0.250 0.143
Pt 0.809 0.250 0.357
Pt 0.691 0.750 0.857
Pt 0.191 0.750 0.643
Pt 0.079 0.250 0.886
Pt 0.579 0.250 0.614
Pt 0.921 0.750 0.114
Pt 0.421 0.750 0.386
! DFT formation energy, eV per atom: -0.5666
! D(E_F), states/eV/atom: 0.600

(22)
! NbPt4 PBE optimized geometry; values from VASP
&SYSTEM
  ibrav = 0, nat = 5, ntyp = 2
/
ATOMIC_SPECIES
Nb 92.91 Nb.upf
Pt 195.08 Pt.upf
CELL_PARAMETERS angstrom
-6.481 9.747 -1.386
-7.352 9.131 1.218
-5.006 10.638 0.839
ATOMIC_POSITIONS crystal
Nb 0.000 0.000 0.000
Pt 0.399 0.399 0.399
Pt 0.800 0.800 0.800
Pt 0.200 0.200 0.200
Pt 0.601 0.601 0.601
! DFT formation energy, eV per atom: -0.2954
! D(E_F), states/eV/atom: 1.007

(23)
! NbPt PBE optimized geometry; values from VASP
&SYSTEM
  ibrav = 0, nat = 32, ntyp = 2
/
ATOMIC_SPECIES
Nb 92.91 Nb.upf
Pt 195.08 Pt.upf
CELL_PARAMETERS angstrom
10.442 0.000 0.000
0.000 8.416 0.000
0.000 0.000 6.743
ATOMIC_POSITIONS crystal
Nb 0.000 0.290 0.000
Nb 0.000 0.710 0.000
Nb 0.250 0.460 0.250
Nb 0.250 0.040 0.250
Nb 0.000 0.790 0.500
Nb 0.000 0.210 0.500
Nb 0.250 0.960 0.750
Nb 0.250 0.540 0.750
Nb 0.500 0.290 0.500
Nb 0.500 0.710 0.500
Nb 0.750 0.460 0.750
Nb 0.750 0.040 0.750
Nb 0.500 0.790 0.000
Nb 0.500 0.210 0.000
Nb 0.750 0.960 0.250
Nb 0.750 0.540 0.250
Pt 0.000 0.000 0.202
Pt 0.000 0.000 0.798
Pt 0.250 0.750 0.048
Pt 0.250 0.750 0.452
Pt 0.000 0.500 0.702
Pt 0.000 0.500 0.298
Pt 0.250 0.250 0.548
Pt 0.250 0.250 0.952
Pt 0.500 0.000 0.702
Pt 0.500 0.000 0.298
Pt 0.750 0.750 0.548
Pt 0.750 0.750 0.952
Pt 0.500 0.500 0.202
Pt 0.500 0.500 0.798
Pt 0.750 0.250 0.048
Pt 0.750 0.250 0.452
! DFT formation energy, eV per atom: -0.1833
! D(E_F), states/eV/atom: 0.894

(24)
! NbPt PBE optimized geometry; values from VASP
&SYSTEM
  ibrav = 0, nat = 16, ntyp = 2
/
ATOMIC_SPECIES
Nb 92.91 Nb.upf
Pt 195.08 Pt.upf
CELL_PARAMETERS angstrom
-8.112 -1.481 2.790
3.138 -4.656 6.652
0.178 3.556 2.405
ATOMIC_POSITIONS crystal
Nb 0.387 0.701 0.000
Nb 0.613 0.299 0.000
Nb 0.299 0.387 0.000
Nb 0.701 0.613 0.000
Nb 0.887 0.201 0.500
Nb 0.113 0.799 0.500
Nb 0.799 0.887 0.500
Nb 0.201 0.113 0.500
Pt 0.365 0.092 0.000
Pt 0.635 0.908 0.000
Pt 0.908 0.365 0.000
Pt 0.092 0.635 0.000
Pt 0.865 0.592 0.500
Pt 0.135 0.408 0.500
Pt 0.408 0.865 0.500
Pt 0.592 0.135 0.500
! DFT formation energy, eV per atom: 0.0073
! D(E_F), states/eV/atom: 0.850